Model w:
# AcGaHg

AcGaHg after structural relaxation (GGA-PBE, OQMD via LeMat-Bulk).

a b c (Å): 7.468 7.468 7.468
angles (deg): 90.00 90.00 90.00
Atoms (fractional coordinates):
Ac: 0.000 0.000 0.000
Ac: 0.000 0.500 0.500
Ac: 0.500 0.000 0.500
Ac: 0.500 0.500 0.000
Ga: 0.250 0.250 0.750
Ga: 0.250 0.750 0.250
Ga: 0.750 0.250 0.250
Ga: 0.750 0.750 0.750
Hg: 0.250 0.250 0.250
Hg: 0.250 0.750 0.750
Hg: 0.750 0.250 0.750
Hg: 0.750 0.750 0.250

## Properties
total magnetic moment = 0.00 μB/atom
symmetry = F-43m, No. 216

Model x:
# AcGaHg

AcGaHg after structural relaxation (GGA-PBE, OQMD via LeMat-Bulk).

a b c (Å): 7.211 7.211 7.211
angles (deg): 90.00 90.00 90.00
Atoms (fractional coordinates):
Ac: 0.000 0.000 0.000
Ac: 0.000 0.500 0.500
Ac: 0.500 0.000 0.500
Ac: 0.500 0.500 0.000
Ga: 0.000 0.000 0.500
Ga: 0.000 0.500 0.000
Ga: 0.500 0.000 0.000
Ga: 0.500 0.500 0.500
Hg: 0.250 0.250 0.250
Hg: 0.250 0.750 0.750
Hg: 0.750 0.250 0.750
Hg: 0.750 0.750 0.250

## Properties
total magnetic moment = 0.00 μB/atom
symmetry = F-43m, No. 216

Which structure is the least stable? The one labeled model w.

Model w:
# AcGaNi

AcGaNi after structural relaxation (GGA-PBE, OQMD via LeMat-Bulk).

a b c (Å): 6.672 6.672 6.672
angles (deg): 90.00 90.00 90.00
Atoms (fractional coordinates):
Ac: 0.000 0.000 0.000
Ac: 0.000 0.500 0.500
Ac: 0.500 0.000 0.500
Ac: 0.500 0.500 0.000
Ga: 0.000 0.000 0.500
Ga: 0.000 0.500 0.000
Ga: 0.500 0.000 0.000
Ga: 0.500 0.500 0.500
Ni: 0.250 0.250 0.250
Ni: 0.250 0.750 0.750
Ni: 0.750 0.250 0.750
Ni: 0.750 0.750 0.250

## Properties
total magnetic moment = 0.01 μB/atom
symmetry = F-43m, No. 216

Model x:
# AcGaNi

AcGaNi after structural relaxation (GGA-PBE, OQMD via LeMat-Bulk).

a b c (Å): 7.013 7.013 7.013
angles (deg): 90.00 90.00 90.00
Atoms (fractional coordinates):
Ac: 0.000 0.000 0.000
Ac: 0.000 0.500 0.500
Ac: 0.500 0.000 0.500
Ac: 0.500 0.500 0.000
Ga: 0.250 0.250 0.750
Ga: 0.250 0.750 0.250
Ga: 0.750 0.250 0.250
Ga: 0.750 0.750 0.750
Ni: 0.250 0.250 0.250
Ni: 0.250 0.750 0.750
Ni: 0.750 0.250 0.750
Ni: 0.750 0.750 0.250

## Properties
total magnetic moment = 0.00 μB/atom
symmetry = F-43m, No. 216

Which structure is the least stable? The one labeled model x.

Model w:
# AcGaOs

AcGaOs after structural relaxation (GGA-PBE, OQMD via LeMat-Bulk).

a b c (Å): 6.951 6.951 6.951
angles (deg): 90.00 90.00 90.00
Atoms (fractional coordinates):
Ac: 0.000 0.000 0.000
Ac: 0.000 0.500 0.500
Ac: 0.500 0.000 0.500
Ac: 0.500 0.500 0.000
Ga: 0.250 0.250 0.750
Ga: 0.250 0.750 0.250
Ga: 0.750 0.250 0.250
Ga: 0.750 0.750 0.750
Os: 0.250 0.250 0.250
Os: 0.250 0.750 0.750
Os: 0.750 0.250 0.750
Os: 0.750 0.750 0.250

## Properties
total magnetic moment = 0.00 μB/atom
symmetry = F-43m, No. 216

Model x:
# AcGaOs

AcGaOs after structural relaxation (GGA-PBE, OQMD via LeMat-Bulk).

a b c (Å): 6.711 6.711 6.711
angles (deg): 90.00 90.00 90.00
Atoms (fractional coordinates):
Ac: 0.000 0.000 0.000
Ac: 0.000 0.500 0.500
Ac: 0.500 0.000 0.500
Ac: 0.500 0.500 0.000
Ga: 0.000 0.000 0.500
Ga: 0.000 0.500 0.000
Ga: 0.500 0.000 0.000
Ga: 0.500 0.500 0.500
Os: 0.250 0.250 0.250
Os: 0.250 0.750 0.750
Os: 0.750 0.250 0.750
Os: 0.750 0.750 0.250

## Properties
total magnetic moment = 0.00 μB/atom
symmetry = F-43m, No. 216

Which structure is the least stable? The one labeled model w.

Model w:
# AcGaPt

AcGaPt after structural relaxation (GGA-PBE, OQMD via LeMat-Bulk).

a b c (Å): 6.815 6.815 6.815
angles (deg): 90.00 90.00 90.00
Atoms (fractional coordinates):
Ac: 0.000 0.000 0.000
Ac: 0.000 0.500 0.500
Ac: 0.500 0.000 0.500
Ac: 0.500 0.500 0.000
Ga: 0.250 0.250 0.250
Ga: 0.250 0.750 0.750
Ga: 0.750 0.250 0.750
Ga: 0.750 0.750 0.250
Pt: 0.000 0.000 0.500
Pt: 0.000 0.500 0.000
Pt: 0.500 0.000 0.000
Pt: 0.500 0.500 0.500

## Properties
total magnetic moment = 0.00 μB/atom
symmetry = F-43m, No. 216

Model x:
# AcGaPt

AcGaPt after structural relaxation (GGA-PBE, OQMD via LeMat-Bulk).

a b c (Å): 7.133 7.133 7.133
angles (deg): 90.00 90.00 90.00
Atoms (fractional coordinates):
Ac: 0.000 0.000 0.000
Ac: 0.000 0.500 0.500
Ac: 0.500 0.000 0.500
Ac: 0.500 0.500 0.000
Ga: 0.250 0.250 0.750
Ga: 0.250 0.750 0.250
Ga: 0.750 0.250 0.250
Ga: 0.750 0.750 0.750
Pt: 0.250 0.250 0.250
Pt: 0.250 0.750 0.750
Pt: 0.750 0.250 0.750
Pt: 0.750 0.750 0.250

## Properties
total magnetic moment = 0.00 μB/atom
symmetry = F-43m, No. 216

Model y:
# AcGaPt

AcGaPt after structural relaxation (GGA-PBE, OQMD via LeMat-Bulk).

a b c (Å): 4.510 4.510 4.234
angles (deg): 90.00 90.00 120.00
Atoms (fractional coordinates):
Ac: 0.000 0.000 0.000
Ga: 0.333 0.667 0.500
Pt: 0.667 0.333 0.500

## Properties
total magnetic moment = 0.00 μB/atom
symmetry = P-6m2, No. 187

Which structure is the least stable? The one labeled model x.

Model w:
# AcTbGa

AcTbGa after structural relaxation (GGA-PBE, OQMD via LeMat-Bulk).

a b c (Å): 7.511 7.511 7.511
angles (deg): 90.00 90.00 90.00
Atoms (fractional coordinates):
Ac: 0.000 0.000 0.000
Ac: 0.000 0.500 0.500
Ac: 0.500 0.000 0.500
Ac: 0.500 0.500 0.000
Tb: 0.250 0.250 0.250
Tb: 0.250 0.750 0.750
Tb: 0.750 0.250 0.750
Tb: 0.750 0.750 0.250
Ga: 0.250 0.250 0.750
Ga: 0.250 0.750 0.250
Ga: 0.750 0.250 0.250
Ga: 0.750 0.750 0.750

## Properties
total magnetic moment = 0.01 μB/atom
symmetry = F-43m, No. 216

Model x:
# AcTbGa

AcTbGa after structural relaxation (GGA-PBE, OQMD via LeMat-Bulk).

a b c (Å): 7.370 7.370 7.370
angles (deg): 90.00 90.00 90.00
Atoms (fractional coordinates):
Ac: 0.000 0.000 0.000
Ac: 0.000 0.500 0.500
Ac: 0.500 0.000 0.500
Ac: 0.500 0.500 0.000
Tb: 0.000 0.000 0.500
Tb: 0.000 0.500 0.000
Tb: 0.500 0.000 0.000
Tb: 0.500 0.500 0.500
Ga: 0.250 0.250 0.250
Ga: 0.250 0.750 0.750
Ga: 0.750 0.250 0.750
Ga: 0.750 0.750 0.250

## Properties
total magnetic moment = 0.22 μB/atom
symmetry = F-43m, No. 216

Which structure is the least stable? The one labeled model w.

Model w:
# AcGaTc

AcGaTc after structural relaxation (GGA-PBE, OQMD via LeMat-Bulk).

a b c (Å): 6.996 6.996 6.996
angles (deg): 90.00 90.00 90.00
Atoms (fractional coordinates):
Ac: 0.000 0.000 0.000
Ac: 0.000 0.500 0.500
Ac: 0.500 0.000 0.500
Ac: 0.500 0.500 0.000
Ga: 0.250 0.250 0.750
Ga: 0.250 0.750 0.250
Ga: 0.750 0.250 0.250
Ga: 0.750 0.750 0.750
Tc: 0.250 0.250 0.250
Tc: 0.250 0.750 0.750
Tc: 0.750 0.250 0.750
Tc: 0.750 0.750 0.250

## Properties
total magnetic moment = 0.36 μB/atom
symmetry = F-43m, No. 216

Model x:
# AcGaTc

AcGaTc after structural relaxation (GGA-PBE, OQMD via LeMat-Bulk).

a b c (Å): 6.746 6.746 6.746
angles (deg): 90.00 90.00 90.00
Atoms (fractional coordinates):
Ac: 0.000 0.000 0.000
Ac: 0.000 0.500 0.500
Ac: 0.500 0.000 0.500
Ac: 0.500 0.500 0.000
Ga: 0.250 0.250 0.250
Ga: 0.250 0.750 0.750
Ga: 0.750 0.250 0.750
Ga: 0.750 0.750 0.250
Tc: 0.000 0.000 0.500
Tc: 0.000 0.500 0.000
Tc: 0.500 0.000 0.000
Tc: 0.500 0.500 0.500

## Properties
total magnetic moment = 0.02 μB/atom
symmetry = F-43m, No. 216

Which structure is the least stable? The one labeled model w.